Entry 1:
# ThPaCo

A geometry-optimized ThPaCo structure (PBE, the Open Quantum Materials Database). Values from VASP.

Quantum ESPRESSO input file:
```
&SYSTEM
  ibrav = 0, nat = 3, ntyp = 3
/
ATOMIC_SPECIES
Co 58.93 Co.upf
Pa 231.04 Pa.upf
Th 232.04 Th.upf
CELL_PARAMETERS angstrom
-4.390 -0.632 -1.461
-3.573 1.237 2.740
-2.639 3.684 -1.127
ATOMIC_POSITIONS crystal
Co 0.000 0.000 0.000
Pa 0.250 0.250 0.250
Th 0.750 0.750 0.750
```

E   -7.848 eV/atom

***

Entry 2:
# NaAl2CuTe4

A geometry-optimized NaAl2CuTe4 structure (PBE, the Open Quantum Materials Database). Values from VASP.

Quantum ESPRESSO input file:
```
&SYSTEM
  ibrav = 0, nat = 8, ntyp = 4
/
ATOMIC_SPECIES
Al 26.98 Al.upf
Cu 63.55 Cu.upf
Na 22.99 Na.upf
Te 127.60 Te.upf
CELL_PARAMETERS angstrom
0.558 5.691 4.899
-7.076 1.713 1.923
3.472 -6.682 0.027
ATOMIC_POSITIONS crystal
Al 0.000 0.000 0.000
Al 0.250 0.750 0.500
Cu 0.500 0.500 0.000
Na 0.750 0.250 0.500
Te 0.158 0.656 0.042
Te 0.884 0.842 0.498
Te 0.344 0.386 0.502
Te 0.614 0.116 0.958
```

E   -3.602 eV/atom

***

Entry 3:
# Ho2ErIn3Ir2

A geometry-optimized Ho2ErIn3Ir2 structure (PBE, the Open Quantum Materials Database). Values from VASP.

Quantum ESPRESSO input file:
```
&SYSTEM
  ibrav = 0, nat = 8, ntyp = 4
/
ATOMIC_SPECIES
Er 167.26 Er.upf
Ho 164.93 Ho.upf
In 114.82 In.upf
Ir 192.22 Ir.upf
CELL_PARAMETERS angstrom
-0.572 0.931 3.467
3.636 -6.272 2.285
3.871 6.449 -1.094
ATOMIC_POSITIONS crystal
Er 0.500 0.578 0.578
Ho 0.500 0.422 0.000
Ho 0.500 0.000 0.422
In 0.000 0.765 0.000
In 0.000 0.235 0.235
In 0.000 0.000 0.765
Ir 0.000 0.667 0.333
Ir 0.000 0.333 0.667
```

E   -5.611 eV/atom

***

Entry 4:
# NdHfSc

A geometry-optimized NdHfSc structure (PBE, the Open Quantum Materials Database). Values from VASP.

Quantum ESPRESSO input file:
```
&SYSTEM
  ibrav = 0, nat = 3, ntyp = 3
/
ATOMIC_SPECIES
Hf 178.49 Hf.upf
Nd 144.24 Nd.upf
Sc 44.96 Sc.upf
CELL_PARAMETERS angstrom
0.000 3.580 3.580
3.580 0.000 3.580
3.580 3.580 0.000
ATOMIC_POSITIONS crystal
Hf 0.000 0.000 0.000
Nd 0.250 0.250 0.250
Sc 0.750 0.750 0.750
```

Energy relative to the lowest polymorph listed for this composition   0.000 eV per atom
E   -6.124 eV/atom